# NbVO2F (PBE with a Hubbard U, optimized geometry)
data_NbVO2F
_symmetry_space_group_name_H-M 'P 1'
_symmetry_Int_Tables_number 1
_cell_length_a 4.021
_cell_length_b 4.021
_cell_length_c 4.249
_cell_angle_alpha 90.00
_cell_angle_beta 90.00
_cell_angle_gamma 90.00
loop_
_symmetry_equiv_pos_as_xyz
'x,y,z'
loop_
_atom_site_label
_atom_site_type_symbol
_atom_site_fract_x
_atom_site_fract_y
_atom_site_fract_z
Nb1 Nb 0.000 0.000 0.000
V1 V 0.500 0.500 0.500
O1 O 0.000 0.500 0.000
O2 O 0.500 0.000 0.000
F1 F 0.000 0.000 0.500
# ρ in Mg/m³: 4.71
# Total energy in eV for the cell shown: -34.82